Version P
TcRu2ICl | PBE | relaxed

a = 4.486 Å, b = 4.491 Å, c = 4.486 Å
α = 90.00°, β = 90.00°, γ = 90.00°
Atoms (fractional coordinates):
I1 0.500 0.500 0.500
Ru1 0.000 0.000 0.500
Ru2 0.500 0.000 0.000
Tc1 0.000 0.500 0.000
Cl1 0.000 0.000 0.000

=====

Version Q
TcRu2ICl | PBE | relaxed

a = 4.801 Å, b = 4.588 Å, c = 4.801 Å
α = 90.00°, β = 90.00°, γ = 90.00°
Atoms (fractional coordinates):
I1 0.500 0.500 0.500
Ru1 0.000 0.000 0.500
Ru2 0.500 0.000 0.000
Tc1 0.000 0.000 0.000
Cl1 0.000 0.500 0.000

=====

Most stable structure, least stable structure: version Q, version P.

=====

Version P
ScSICl2 | PBE | relaxed

a = 5.371 Å, b = 5.371 Å, c = 5.488 Å
α = 90.00°, β = 90.00°, γ = 90.00°
Atoms (fractional coordinates):
I1 0.000 0.000 0.000
Sc1 0.500 0.500 0.500
S1 0.000 0.000 0.500
Cl1 0.000 0.500 0.000
Cl2 0.500 0.000 0.000

=====

Version Q
ScSICl2 | PBE | relaxed

a = 4.837 Å, b = 4.837 Å, c = 5.537 Å
α = 90.00°, β = 90.00°, γ = 90.00°
Atoms (fractional coordinates):
I1 0.500 0.500 0.500
Sc1 0.000 0.000 0.000
S1 0.000 0.000 0.500
Cl1 0.000 0.500 0.000
Cl2 0.500 0.000 0.000

=====

Most stable structure, least stable structure: version Q, version P.

=====

Version P
SeS2ICl | PBE | relaxed

a = 5.163 Å, b = 5.163 Å, c = 5.432 Å
α = 90.00°, β = 90.00°, γ = 90.00°
Atoms (fractional coordinates):
I1 0.000 0.000 0.000
S1 0.000 0.500 0.000
S2 0.500 0.000 0.000
Se1 0.500 0.500 0.500
Cl1 0.000 0.000 0.500

=====

Version Q
SeS2ICl | PBE | relaxed

a = 4.996 Å, b = 4.996 Å, c = 4.874 Å
α = 90.00°, β = 90.00°, γ = 90.00°
Atoms (fractional coordinates):
I1 0.500 0.500 0.500
S1 0.000 0.500 0.000
S2 0.500 0.000 0.000
Se1 0.000 0.000 0.000
Cl1 0.000 0.000 0.500

=====

Most stable structure, least stable structure: version Q, version P.

=====

Version P
SiS2ICl | PBE | relaxed

a = 5.149 Å, b = 5.149 Å, c = 5.297 Å
α = 90.00°, β = 90.00°, γ = 90.00°
Atoms (fractional coordinates):
I1 0.000 0.000 0.000
S1 0.000 0.500 0.000
S2 0.500 0.000 0.000
Si1 0.500 0.500 0.500
Cl1 0.000 0.000 0.500

=====

Version Q
SiS2ICl | PBE | relaxed

a = 4.763 Å, b = 4.763 Å, c = 4.637 Å
α = 90.00°, β = 90.00°, γ = 90.00°
Atoms (fractional coordinates):
I1 0.500 0.500 0.500
S1 0.000 0.500 0.000
S2 0.500 0.000 0.000
Si1 0.000 0.000 0.000
Cl1 0.000 0.000 0.500

=====

Most stable structure, least stable structure: version Q, version P.

=====

Version P
SiSICl2 | PBE | relaxed

a = 5.435 Å, b = 5.435 Å, c = 5.213 Å
α = 90.00°, β = 90.00°, γ = 90.00°
Atoms (fractional coordinates):
I1 0.000 0.000 0.000
S1 0.000 0.000 0.500
Si1 0.500 0.500 0.500
Cl1 0.000 0.500 0.000
Cl2 0.500 0.000 0.000

=====

Version Q
SiSICl2 | PBE | relaxed

a = 4.608 Å, b = 4.608 Å, c = 5.406 Å
α = 90.00°, β = 90.00°, γ = 90.00°
Atoms (fractional coordinates):
I1 0.500 0.500 0.500
S1 0.000 0.000 0.500
Si1 0.000 0.000 0.000
Cl1 0.000 0.500 0.000
Cl2 0.500 0.000 0.000

=====

Most stable structure, least stable structure: version Q, version P.

=====

Version P
SnSICl2 | PBE | relaxed

a = 5.074 Å, b = 5.074 Å, c = 5.521 Å
α = 90.00°, β = 90.00°, γ = 90.00°
Atoms (fractional coordinates):
I1 0.500 0.500 0.500
S1 0.000 0.000 0.500
Sn1 0.000 0.000 0.000
Cl1 0.000 0.500 0.000
Cl2 0.500 0.000 0.000

=====

Version Q
SnSICl2 | PBE | relaxed

a = 5.489 Å, b = 5.489 Å, c = 5.215 Å
α = 90.00°, β = 90.00°, γ = 90.00°
Atoms (fractional coordinates):
I1 0.000 0.000 0.000
S1 0.000 0.000 0.500
Sn1 0.500 0.500 0.500
Cl1 0.000 0.500 0.000
Cl2 0.500 0.000 0.000

=====

Most stable structure, least stable structure: version P, version Q.

=====

Version P
SrS2ICl | PBE | relaxed

a = 6.025 Å, b = 6.025 Å, c = 5.469 Å
α = 90.00°, β = 90.00°, γ = 90.00°
Atoms (fractional coordinates):
I1 0.500 0.500 0.500
Sr1 0.000 0.000 0.000
S1 0.000 0.500 0.000
S2 0.500 0.000 0.000
Cl1 0.000 0.000 0.500

=====

Version Q
SrS2ICl | PBE | relaxed

a = 5.155 Å, b = 5.155 Å, c = 5.686 Å
α = 90.00°, β = 90.00°, γ = 90.00°
Atoms (fractional coordinates):
I1 0.000 0.000 0.000
Sr1 0.500 0.500 0.500
S1 0.000 0.500 0.000
S2 0.500 0.000 0.000
Cl1 0.000 0.000 0.500

=====

Most stable structure, least stable structure: version Q, version P.

=====

Version P
TaS2ICl | PBE | relaxed

a = 5.135 Å, b = 5.135 Å, c = 5.195 Å
α = 90.00°, β = 90.00°, γ = 90.00°
Atoms (fractional coordinates):
I1 0.000 0.000 0.000
S1 0.000 0.500 0.000
S2 0.500 0.000 0.000
Cl1 0.000 0.000 0.500
Ta1 0.500 0.500 0.500

=====

Version Q
TaS2ICl | PBE | relaxed

a = 4.859 Å, b = 4.859 Å, c = 4.923 Å
α = 90.00°, β = 90.00°, γ = 90.00°
Atoms (fractional coordinates):
I1 0.500 0.500 0.500
S1 0.000 0.500 0.000
S2 0.500 0.000 0.000
Cl1 0.000 0.000 0.500
Ta1 0.000 0.000 0.000

=====

Most stable structure, least stable structure: version Q, version P.